# Cr2NiRh (GGA-PBEsol, relaxed)
data_Cr2NiRh
_cell_length_a 2.545
_cell_length_b 3.641
_cell_length_c 4.996
_cell_angle_alpha 90.00
_cell_angle_beta 90.00
_cell_angle_gamma 90.00
_space_group_name_H-M_alt 'P 1'
_space_group_IT_number 1
_space_group_name_Hall 'P 1'
loop_
_atom_site_label
_atom_site_type_symbol
_atom_site_fract_x
_atom_site_fract_y
_atom_site_fract_z
Ni1 Ni 0.500 0.500 0.000
Cr1 Cr 0.000 0.000 0.764
Cr2 Cr 0.000 0.000 0.236
Rh1 Rh 0.500 0.500 0.500
# - Energy of formation: 0.007 eV/atom
# - SG: Pmmm (47)